No. 1
Compound: Tl2HgPb
Source: Alexandria
Functional: GGA-PBE
Structure: relaxed

Calculated values
For the volume, the calculation gives 29.661 A^3/atom. For the total moment, the calculation gives 0.00 μB per cell. As for the energy of formation: 16 meV/atom. Its symmetry is Cm, No. 8.

Unit cell a=5.9223 b=5.9223 c=5.9570 alpha=80.35 beta=80.35 gamma=35.23
Positions (direct):
Pb (0.2471, 0.2471, 0.2605)
Tl (0.9986, 0.9986, 0.9994)
Tl (0.7541, 0.7541, 0.7450)
Hg (0.5003, 0.5003, 0.4950)

No. 2
Compound: BeC
Source: Alexandria
Functional: GGA-PBE
Structure: relaxed

Calculated values
For the volume, the calculation gives 9.222 A^3/atom. For the total moment, the calculation gives 0.00 μB per cell. As for the energy of formation: 390 meV/atom. For the distance to the lowest polymorph of the same formula, the calculation gives 71 meV per atom. Its symmetry is P6_3/m, No. 176.

Unit cell a=7.1211 b=7.1211 c=2.5198 alpha=90.00 beta=90.00 gamma=120.00
Positions (direct):
Be (0.7313, 0.1708, 0.2500)
Be (0.5605, 0.7313, 0.7500)
Be (0.8292, 0.5605, 0.2500)
Be (0.2687, 0.8292, 0.7500)
Be (0.4395, 0.2687, 0.2500)
Be (0.1708, 0.4395, 0.7500)
C (0.9731, 0.4224, 0.2500)
C (0.5508, 0.9731, 0.7500)
C (0.5776, 0.5508, 0.2500)
C (0.0269, 0.5776, 0.7500)
C (0.4492, 0.0269, 0.2500)
C (0.4224, 0.4492, 0.7500)

No. 3
Compound: LaTa
Source: Alexandria
Functional: GGA-PBE
Structure: relaxed

Calculated values
For the volume, the calculation gives 44.922 A^3/atom. For the total moment, the calculation gives 0.01 μB per cell. As for the energy of formation: 2561 meV/atom. For the distance to the lowest polymorph of the same formula, the calculation gives 2282 meV per atom. Its symmetry is Pm-3n, No. 223.

Unit cell a=8.1386 b=8.1386 c=8.1386 alpha=90.00 beta=90.00 gamma=90.00
Positions (direct):
La (0.2500, 0.0000, 0.5000)
La (0.7500, 0.0000, 0.5000)
La (0.0000, 0.5000, 0.2500)
La (0.0000, 0.5000, 0.7500)
La (0.5000, 0.2500, 0.0000)
La (0.5000, 0.7500, 0.0000)
Ta (0.2500, 0.5000, 0.0000)
Ta (0.7500, 0.5000, 0.0000)
Ta (0.5000, 0.0000, 0.2500)
Ta (0.5000, 0.0000, 0.7500)
Ta (0.0000, 0.2500, 0.5000)
Ta (0.0000, 0.7500, 0.5000)

No. 4
Compound: DyHf3Co2
Source: Alexandria
Functional: GGA-PBE
Structure: relaxed

Calculated values
For the volume, the calculation gives 19.761 A^3/atom. For the total moment, the calculation gives 0.00 μB per cell. As for the energy of formation: -159 meV/atom. Its symmetry is C2/m, No. 12.

Unit cell a=4.6179 b=8.0884 c=7.6125 alpha=118.18 beta=90.00 gamma=106.59
Positions (direct):
Dy (0.8516, 0.7031, 0.9391)
Dy (0.1484, 0.2969, 0.0609)
Hf (0.3077, 0.6154, 0.5978)
Hf (0.9443, 0.8886, 0.6186)
Hf (0.6015, 0.2031, 0.6984)
Hf (0.3985, 0.7969, 0.3016)
Hf (0.0557, 0.1114, 0.3814)
Hf (0.6923, 0.3846, 0.4022)
Co (0.4849, 0.9698, 0.8385)
Co (0.5151, 0.0302, 0.1615)
Co (0.8069, 0.6139, 0.2553)
Co (0.1931, 0.3861, 0.7447)

No. 5
Compound: Ce5Hg2
Source: Alexandria
Functional: GGA-PBE
Structure: relaxed

Calculated values
For the volume, the calculation gives 25.554 A^3/atom. For the total moment, the calculation gives 2.29 μB per cell. As for the energy of formation: -140 meV/atom. Its symmetry is C2/m, No. 12.

Unit cell a=4.0776 b=5.6957 c=8.4431 alpha=101.49 beta=90.00 gamma=110.97
Positions (direct):
Ce (0.3382, 0.6764, 0.0543)
Ce (0.6618, 0.3236, 0.9457)
Ce (0.1847, 0.3694, 0.6217)
Ce (0.5000, 0.0000, 0.5000)
Ce (0.8153, 0.6306, 0.3783)
Hg (0.0789, 0.1579, 0.2170)
Hg (0.9211, 0.8421, 0.7830)

No. 6
Compound: Zn2Ag2Te
Source: Alexandria
Functional: GGA-PBE
Structure: relaxed

Calculated values
For the volume, the calculation gives 19.394 A^3/atom. The energy relative to the elements, uncorrected comes out at 0.0948 eV/atom. For the total moment, the calculation gives 0.00 μB per cell. For the distance to the lowest polymorph of the same formula, the calculation gives 35 meV per atom. Its symmetry is P4/mbm, No. 127.

Unit cell a=7.9485 b=7.9485 c=3.0698 alpha=90.00 beta=90.00 gamma=90.00
Positions (direct):
Zn (0.1632, 0.6632, 0.5000)
Zn (0.6632, 0.8368, 0.5000)
Zn (0.8368, 0.3368, 0.5000)
Zn (0.3368, 0.1632, 0.5000)
Te (0.0000, 0.0000, 0.0000)
Te (0.5000, 0.5000, 0.0000)
Ag (0.3673, 0.8673, 0.0000)
Ag (0.8673, 0.6327, 0.0000)
Ag (0.6327, 0.1327, 0.0000)
Ag (0.1327, 0.3673, 0.0000)

No. 7
Compound: Ac2PuPb
Source: Alexandria
Functional: GGA-PBE
Structure: relaxed

Calculated values
For the volume, the calculation gives 35.857 A^3/atom. For the total moment, the calculation gives 7.16 μB per cell. As for the energy of formation: 6 meV/atom. For the distance to the lowest polymorph of the same formula, the calculation gives 121 meV per atom. Its symmetry is Fm-3m, No. 225.

Unit cell a=5.8755 b=5.8755 c=5.8755 alpha=60.00 beta=60.00 gamma=60.00
Positions (direct):
Pb (0.5000, 0.5000, 0.5000)
Ac (0.2500, 0.2500, 0.2500)
Ac (0.7500, 0.7500, 0.7500)
Pu (0.0000, 0.0000, 0.0000)

No. 8
Compound: PaSCl
Source: Alexandria
Functional: GGA-PBE
Structure: relaxed

Calculated values
For the volume, the calculation gives 24.260 A^3/atom. The energy relative to the elements, uncorrected comes out at -1.3864 eV/atom. For the total moment, the calculation gives 2.01 μB per cell. For the distance to the lowest polymorph of the same formula, the calculation gives 215 meV per atom. Its symmetry is F-43m, No. 216.

Unit cell a=4.6865 b=4.6865 c=4.6865 alpha=60.00 beta=60.00 gamma=60.00
Positions (direct):
S (0.0000, 0.0000, 0.0000)
Pa (0.2500, 0.2500, 0.2500)
Cl (0.5000, 0.5000, 0.5000)

No. 9
Compound: NaHN2
Source: Alexandria
Functional: GGA-PBE
Structure: relaxed

Calculated values
For the volume, the calculation gives 8.795 A^3/atom. For the total moment, the calculation gives 0.00 μB per cell. For the distance to the lowest polymorph of the same formula, the calculation gives 976 meV per atom. Its symmetry is Fm-3m, No. 225.

Unit cell a=3.6779 b=3.6779 c=3.6779 alpha=60.00 beta=60.00 gamma=60.00
Positions (direct):
Na (0.5000, 0.5000, 0.5000)
H (0.0000, 0.0000, 0.0000)
N (0.2500, 0.2500, 0.2500)
N (0.7500, 0.7500, 0.7500)

No. 10
Compound: BaTcBr2
Source: Alexandria
Functional: GGA-PBE
Structure: relaxed

Calculated values
For the volume, the calculation gives 33.513 A^3/atom. The energy relative to the elements, uncorrected comes out at -0.2118 eV/atom. For the total moment, the calculation gives 6.01 μB per cell. For the distance to the lowest polymorph of the same formula, the calculation gives 156 meV per atom. Its symmetry is I-42d, No. 122.

Unit cell a=5.5635 b=5.5635 c=9.5132 alpha=73.00 beta=73.00 gamma=90.00
Positions (direct):
Ba (0.0000, 0.0000, 0.0000)
Ba (0.7500, 0.2500, 0.5000)
Br (0.5440, 0.1250, 0.2500)
Br (0.2060, 0.6250, 0.2500)
Br (0.3750, 0.4560, 0.7500)
Br (0.8750, 0.7940, 0.7500)
Tc (0.5000, 0.5000, 0.0000)
Tc (0.2500, 0.7500, 0.5000)

No. 11
Compound: TiNb2Te2Se4
Source: Alexandria
Functional: GGA-PBE
Structure: relaxed

Calculated values
For the volume, the calculation gives 26.232 A^3/atom. The energy relative to the elements, uncorrected comes out at -0.7454 eV/atom. For the total moment, the calculation gives 0.00 μB per cell. Its symmetry is P3m1, No. 156.

Unit cell a=3.5360 b=3.5360 c=21.8038 alpha=90.00 beta=90.00 gamma=120.00
Positions (direct):
Ti (0.0000, 0.0000, 0.3288)
Nb (0.0000, 0.0000, 0.9732)
Nb (0.6667, 0.3333, 0.6572)
Te (0.6667, 0.3333, 0.4146)
Te (0.6667, 0.3333, 0.2428)
Se (0.0000, 0.0000, 0.5807)
Se (0.6667, 0.3333, 0.0496)
Se (0.6667, 0.3333, 0.8970)
Se (0.0000, 0.0000, 0.7333)

No. 12
Compound: Pr5ScTe6
Source: Alexandria
Functional: GGA-PBE
Structure: relaxed

Calculated values
For the volume, the calculation gives 31.653 A^3/atom. The energy relative to the elements, uncorrected comes out at -1.3740 eV/atom. For the total moment, the calculation gives 0.00 μB per cell. Its symmetry is C2/m, No. 12.

Unit cell a=7.7473 b=7.7473 c=7.7508 alpha=99.55 beta=99.55 gamma=120.05
Positions (direct):
Pr (0.8194, 0.1806, 0.5000)
Pr (0.6654, 0.3346, 0.0000)
Pr (0.5000, 0.5000, 0.5000)
Pr (0.3346, 0.6654, 0.0000)
Pr (0.1806, 0.8194, 0.5000)
Sc (0.0000, 0.0000, 0.0000)
Te (0.3916, 0.0771, 0.2358)
Te (0.9229, 0.6084, 0.7642)
Te (0.2301, 0.2301, 0.7506)
Te (0.7699, 0.7699, 0.2494)
Te (0.0771, 0.3916, 0.2358)
Te (0.6084, 0.9229, 0.7642)